# BaSrGa2Si2, relaxed, DFT GGA-PBE
# - ΔE_f (raw): -0.46 eV/atom
data_BaSrGa2Si2
_symmetry_space_group_name_H-M 'P 1'
_symmetry_Int_Tables_number 1
_cell_length_a 4.2329
_cell_length_b 4.2329
_cell_length_c 9.9183
_cell_angle_alpha 90.00
_cell_angle_beta 90.00
_cell_angle_gamma 120.00
loop_
_symmetry_equiv_pos_as_xyz
'x,y,z'
loop_
_atom_site_label
_atom_site_type_symbol
_atom_site_fract_x
_atom_site_fract_y
_atom_site_fract_z
Ba1 Ba 0.0000 0.0000 0.0000
Sr1 Sr 0.0000 0.0000 0.5000
Ga1 Ga 0.3333 0.6667 0.7454
Ga2 Ga 0.6667 0.3333 0.2546
Si1 Si 0.3333 0.6667 0.2670
Si2 Si 0.6667 0.3333 0.7330

=====

# TbLuHgRh, relaxed, DFT GGA-PBE
# - Formation enthalpy at 0 K: -0.629 eV per atom
data_TbLuHgRh
_symmetry_space_group_name_H-M 'P 1'
_symmetry_Int_Tables_number 1
_cell_length_a 5.0118
_cell_length_b 5.0118
_cell_length_c 5.0118
_cell_angle_alpha 60.00
_cell_angle_beta 60.00
_cell_angle_gamma 60.00
loop_
_symmetry_equiv_pos_as_xyz
'x,y,z'
loop_
_atom_site_label
_atom_site_type_symbol
_atom_site_fract_x
_atom_site_fract_y
_atom_site_fract_z
Tb1 Tb 0.0000 0.0000 0.0000
Lu1 Lu 0.5000 0.5000 0.5000
Hg1 Hg 0.2500 0.2500 0.2500
Rh1 Rh 0.7500 0.7500 0.7500

=====

# Tb5YCu4, relaxed, DFT GGA-PBE
# - Formation enthalpy at 0 K: -0.184 eV per atom
data_Tb5YCu4
_symmetry_space_group_name_H-M 'P 1'
_symmetry_Int_Tables_number 1
_cell_length_a 3.4927
_cell_length_b 3.4927
_cell_length_c 19.1002
_cell_angle_alpha 90.00
_cell_angle_beta 90.00
_cell_angle_gamma 90.00
loop_
_symmetry_equiv_pos_as_xyz
'x,y,z'
loop_
_atom_site_label
_atom_site_type_symbol
_atom_site_fract_x
_atom_site_fract_y
_atom_site_fract_z
Tb1 Tb 0.0000 0.0000 0.0000
Tb2 Tb 0.0000 0.0000 0.1831
Tb3 Tb 0.0000 0.0000 0.3637
Tb4 Tb 0.0000 0.0000 0.6363
Tb5 Tb 0.0000 0.0000 0.8169
Y1 Y 0.5000 0.5000 0.5000
Cu1 Cu 0.5000 0.5000 0.0915
Cu2 Cu 0.5000 0.5000 0.2737
Cu3 Cu 0.5000 0.5000 0.7263
Cu4 Cu 0.5000 0.5000 0.9085

=====

# NiS3N, relaxed, DFT GGA-PBE
# - ΔE_f (raw): 1.29 eV/atom
data_NiS3N
_symmetry_space_group_name_H-M 'P 1'
_symmetry_Int_Tables_number 1
_cell_length_a 4.0557
_cell_length_b 4.0557
_cell_length_c 4.0557
_cell_angle_alpha 90.00
_cell_angle_beta 90.00
_cell_angle_gamma 90.00
loop_
_symmetry_equiv_pos_as_xyz
'x,y,z'
loop_
_atom_site_label
_atom_site_type_symbol
_atom_site_fract_x
_atom_site_fract_y
_atom_site_fract_z
Ni1 Ni 0.0000 0.0000 0.0000
S1 S 0.0000 0.5000 0.5000
S2 S 0.5000 0.0000 0.5000
S3 S 0.5000 0.5000 0.0000
N1 N 0.5000 0.5000 0.5000